# 1
Material: CuPtO2
Method: DFT, PBE-GGA
State: optimized geometry

Calculated values
The calculation puts the total magnetization at 0.00 μB per atom. The electronic total energy is -5.4910 eV/atom.

a b c (Å): 2.976 3.131 5.285
angles (deg): 90.00 90.00 90.00
Atoms (fractional coordinates):
O: 0.000 0.500 0.748
O: 0.000 0.500 0.252
Cu: 0.500 0.500 0.500
Pt: 0.000 0.000 0.000



# 2
Material: Cu3PtO6
Method: DFT, PBE-GGA
State: optimized geometry

Calculated values
The calculation puts the polymorph energy (0 for the lowest one) at 44 meV per atom. The calculation puts the total magnetization at 0.00 μB per atom.

a b c (Å): 3.113 6.008 6.008
angles (deg): 108.74 90.00 90.00
Atoms (fractional coordinates):
Cu: 0.500 0.500 0.000
Cu: 0.000 0.000 0.000
Cu: 0.500 0.000 0.500
Pt: 0.000 0.500 0.500
O: 0.000 0.066 0.323
O: 0.000 0.934 0.677
O: 0.000 0.323 0.066
O: 0.000 0.677 0.934
O: 0.500 0.634 0.366
O: 0.500 0.366 0.634



# 3
Material: CuPt2O6
Method: DFT, PBE-GGA
State: optimized geometry

Calculated values
The calculation puts the total magnetization at 0.20 μB per atom. The electronic total energy is -5.4355 eV/atom.

a b c (Å): 4.300 5.195 5.195
angles (deg): 120.00 90.00 90.00
Site moments in Bohr magnetons follow the coordinates.
Atoms (fractional coordinates):
Cu: 0.000 0.000 0.000  0.28
Pt: 0.500 0.667 0.333  0.21
Pt: 0.500 0.333 0.667  0.21
O: 0.753 0.648 0.648  0.15
O: 0.247 0.648 0.000  0.15
O: 0.247 0.000 0.648  0.15
O: 0.753 0.352 0.000  0.15
O: 0.247 0.352 0.352  0.15
O: 0.753 0.000 0.352  0.15



# 4
Material: Cu6PtO12
Method: DFT, PBE-GGA
State: optimized geometry

Calculated values
The calculation puts the total magnetization at 0.00 μB per atom. The electronic total energy is -5.0204 eV/atom.

a b c (Å): 5.891 5.891 5.891
angles (deg): 100.94 100.94 100.94
Atoms (fractional coordinates):
Cu: 0.144 0.328 0.594
Cu: 0.672 0.406 0.856
Cu: 0.406 0.856 0.672
Cu: 0.856 0.672 0.406
Cu: 0.328 0.594 0.144
Cu: 0.594 0.144 0.328
Pt: 0.000 0.000 0.000
O: 0.410 0.179 0.601
O: 0.179 0.601 0.410
O: 0.601 0.410 0.179
O: 0.590 0.821 0.399
O: 0.821 0.399 0.590
O: 0.399 0.590 0.821
O: 0.051 0.897 0.681
O: 0.319 0.949 0.103
O: 0.103 0.319 0.949
O: 0.949 0.103 0.319
O: 0.681 0.051 0.897
O: 0.897 0.681 0.051



# 5
Material: CuPtO3
Method: DFT, PBE-GGA
State: optimized geometry

Calculated values
The calculation puts the total magnetization at 0.30 μB per atom. The electronic total energy is -4.7038 eV/atom.

a b c (Å): 3.908 3.908 3.908
angles (deg): 90.00 90.00 90.00
Site moments in Bohr magnetons follow the coordinates.
Atoms (fractional coordinates):
O: 0.000 0.500 0.000  0.15
O: 0.000 0.000 0.500  0.06
O: 0.500 0.000 0.000  0.39
Cu: 0.500 0.500 0.500  0.26
Pt: 0.000 0.000 0.000  0.52



# 6
Material: Cu2PtO6
Method: DFT, PBE-GGA
State: optimized geometry

Calculated values
The calculation puts the total magnetization at 0.11 μB per atom. The electronic total energy is -5.1565 eV/atom.

a b c (Å): 5.500 6.409 6.409
angles (deg): 89.11 89.74 89.74
Site moments in Bohr magnetons follow the coordinates.
Atoms (fractional coordinates):
Cu: 0.471 0.374 0.181  0.08
Cu: 0.029 0.819 0.626  0.08
Cu: 0.529 0.626 0.819  0.08
Cu: 0.971 0.181 0.374  0.08
Pt: 0.250 0.916 0.084  0.02
Pt: 0.750 0.084 0.916  0.02
O: 0.490 0.401 0.469  0.30
O: 0.010 0.531 0.599  0.30
O: 0.510 0.599 0.531  0.30
O: 0.990 0.469 0.401  0.30
O: 0.970 0.104 0.661  0.03
O: 0.530 0.339 0.896  0.03
O: 0.030 0.896 0.339  0.03
O: 0.470 0.661 0.104  0.03
O: 0.044 0.195 0.077  0.01
O: 0.456 0.923 0.805  0.01
O: 0.956 0.805 0.923  0.01
O: 0.544 0.077 0.195  0.01



# 7
Material: CuPtO2
Method: DFT, PBE-GGA
State: optimized geometry

Calculated values
The calculation puts the total magnetization at 0.00 μB per atom. The electronic total energy is -4.6699 eV/atom.

a b c (Å): 3.890 3.890 3.890
angles (deg): 60.00 60.00 60.00
Atoms (fractional coordinates):
O: 0.250 0.250 0.250
O: 0.750 0.750 0.750
Cu: 0.000 0.000 0.000
Pt: 0.500 0.500 0.500



# 8
Material: Cu2PtO
Method: DFT, PBE-GGA
State: optimized geometry

Calculated values
The calculation puts the total magnetization at 0.00 μB per atom. The electronic total energy is -4.7293 eV/atom.

a b c (Å): 6.370 6.370 5.106
angles (deg): 51.41 51.41 90.00
Atoms (fractional coordinates):
O: 0.500 0.500 0.000
O: 0.250 0.750 0.500
Cu: 0.559 0.125 0.250
Cu: 0.191 0.625 0.250
Cu: 0.375 0.441 0.750
Cu: 0.875 0.809 0.750
Pt: 0.000 0.000 0.000
Pt: 0.750 0.250 0.500